DFT (PBE-GGA) results for an optimized crystal structure of Sc3NbHg.

abc: 5.210 5.210 5.210
angles: 90.00 90.00 90.00
Atoms (fractional coordinates):
Sc (0.000, 0.000, 0.500)
Sc (0.000, 0.500, 0.000)
Sc (0.500, 0.000, 0.000)
Nb (0.500, 0.500, 0.500)
Hg (0.000, 0.000, 0.000)

## Properties
- ρ: 5.0 g cm⁻³
- M_tot: 2.73 μB per formula unit
- Crystal system: cubic
- Volume: 28.289 Å³ per atom
- Fermi-level density of states: 11.94 states/eV per cell
- E_tot: -25.07 eV/cell